A plane-wave DFT calculation with GGA-PBE was carried out for PuTiCdIn after structural relaxation.

Geometry as CIF:
```
data_PuTiCdIn
_symmetry_space_group_name_H-M 'P 1'
_symmetry_Int_Tables_number 1
_cell_length_a 7.2074
_cell_length_b 7.2074
_cell_length_c 7.2074
_cell_angle_alpha 90.00
_cell_angle_beta 90.00
_cell_angle_gamma 90.00
loop_
_symmetry_equiv_pos_as_xyz
'x,y,z'
loop_
_atom_site_label
_atom_site_type_symbol
_atom_site_fract_x
_atom_site_fract_y
_atom_site_fract_z
Pu1 Pu 0.0000 0.0000 0.0000
Pu2 Pu 0.0000 0.5000 0.5000
Pu3 Pu 0.5000 0.0000 0.5000
Pu4 Pu 0.5000 0.5000 0.0000
Ti1 Ti 0.0000 0.0000 0.5000
Ti2 Ti 0.0000 0.5000 0.0000
Ti3 Ti 0.5000 0.0000 0.0000
Ti4 Ti 0.5000 0.5000 0.5000
Cd1 Cd 0.2500 0.2500 0.2500
Cd2 Cd 0.2500 0.7500 0.7500
Cd3 Cd 0.7500 0.2500 0.7500
Cd4 Cd 0.7500 0.7500 0.2500
In1 In 0.2500 0.2500 0.7500
In2 In 0.2500 0.7500 0.2500
In3 In 0.7500 0.2500 0.2500
In4 In 0.7500 0.7500 0.7500
```

## Properties
The volume comes out at 374.4 Å³ per cell. The value obtained for the energy relative to the elements is 0.066 eV per atom.

=====

A plane-wave DFT calculation with GGA-PBE was carried out for PuTlCdIn after structural relaxation.

Geometry as CIF:
```
data_PuTlCdIn
_symmetry_space_group_name_H-M 'P 1'
_symmetry_Int_Tables_number 1
_cell_length_a 7.4671
_cell_length_b 7.4671
_cell_length_c 7.4671
_cell_angle_alpha 90.00
_cell_angle_beta 90.00
_cell_angle_gamma 90.00
loop_
_symmetry_equiv_pos_as_xyz
'x,y,z'
loop_
_atom_site_label
_atom_site_type_symbol
_atom_site_fract_x
_atom_site_fract_y
_atom_site_fract_z
Pu1 Pu 0.0000 0.0000 0.0000
Pu2 Pu 0.0000 0.5000 0.5000
Pu3 Pu 0.5000 0.0000 0.5000
Pu4 Pu 0.5000 0.5000 0.0000
Tl1 Tl 0.2500 0.2500 0.7500
Tl2 Tl 0.2500 0.7500 0.2500
Tl3 Tl 0.7500 0.2500 0.2500
Tl4 Tl 0.7500 0.7500 0.7500
Cd1 Cd 0.0000 0.0000 0.5000
Cd2 Cd 0.0000 0.5000 0.0000
Cd3 Cd 0.5000 0.0000 0.0000
Cd4 Cd 0.5000 0.5000 0.5000
In1 In 0.2500 0.2500 0.2500
In2 In 0.2500 0.7500 0.7500
In3 In 0.7500 0.2500 0.7500
In4 In 0.7500 0.7500 0.2500
```

## Properties
The volume comes out at 416.3 Å³ per cell. The value obtained for the energy relative to the elements is -0.038 eV per atom. Its relative energy among the computed polymorphs is 0.038 eV per atom.

=====

Look up the energy relative to the elements of the first one. 0.066 eV per atom

=====

Which formula does entry 2 have? PuTlCdIn

=====

Among the records above, which one has the lowest volume? PuTiCdIn

=====

Among the records above, which one has the lowest energy relative to the elements? PuTlCdIn